The following is a DFT calculation (PBEsol) of crystalline LiCrBiCl2 at its relaxed geometry.

## Properties
The formation energy (no corrections) is -1.8 eV/f.u.

Cell lengths 4.6090, 4.6090, 5.7175 Å; angles 90.00, 90.00, 90.00 degrees
With the nearest neighbours (Å) after each atom.
Space group P4/mmm (No. 123)
Unique sites:
Li1 0.0000 0.0000 0.0000 x1  4 Bi 3.26
Cr1 0.5000 0.5000 0.5000 x1  4 Cl 2.30
Bi1 0.5000 0.5000 0.0000 x1  2 Cr 2.86
Cl1 0.0000 0.5000 0.5000 x2  2 Cr 2.30



The following is a DFT calculation (PBEsol) of crystalline Y2AgPb at its relaxed geometry.

## Properties
As for the energy relative to the elements: -0.43 eV per atom.

Cell lengths 3.6572, 3.6572, 7.4579 Å; angles 90.00, 90.00, 90.00 degrees
With the nearest neighbours (Å) after each atom.
Space group P4/mmm (No. 123)
Unique sites:
Y1 0.0000 0.0000 0.2336 x2  4 Ag 3.12, 4 Pb 3.26, 1 Y 3.48
Ag1 0.5000 0.5000 0.0000 x1  8 Y 3.12
Pb1 0.5000 0.5000 0.5000 x1  8 Y 3.26



The following is a DFT calculation (PBEsol) of crystalline InTcIr2 at its relaxed geometry.

## Properties
As for the energy relative to the elements: 0.00 eV per atom.

Cell lengths 2.8142, 3.8037, 5.6930 Å; angles 90.00, 90.00, 90.00 degrees
With the nearest neighbours (Å) after each atom.
Space group Pmmm (No. 47)
Unique sites:
In1 0.0000 0.0000 0.0000 x1  2 In 2.81, 8 Ir 2.82, 2 Tc 2.85
Tc1 0.0000 0.0000 0.5000 x1  8 Ir 2.71, 2 Tc 2.81, 2 In 2.85
Ir1 0.5000 0.5000 0.2685 x2  3 Ir 2.64-2.81, 4 Tc 2.71, 4 In 2.82



The following is a DFT calculation (PBEsol) of crystalline LiCuW at its relaxed geometry.

## Properties
As for the energy relative to the elements: 0.38 eV per atom.

Cell lengths 2.9425, 4.2305, 13.5874 Å; angles 90.00, 90.00, 90.00 degrees
With the nearest neighbours (Å) after each atom.
Space group Fmm2 (No. 42)
Unique sites:
Li1 0.0000 0.0000 0.0000 x4  4 Li 2.58, 2 Cu 2.62, 2 W 2.85
Cu1 0.0000 0.0000 0.3402 x4  4 Cu 2.58, 2 Li 2.62, 2 W 2.63
W1 0.0000 0.0000 0.6797 x4  4 W 2.58, 2 Cu 2.63, 2 Li 2.85



The following is a DFT calculation (PBEsol) of crystalline Zn2Hg at its relaxed geometry.

## Properties
As for the energy relative to the elements: 0.05 eV per atom.

Cell lengths 4.9328, 4.9328, 8.8517 Å; angles 90.00, 90.00, 90.00 degrees
With the nearest neighbours (Å) after each atom.
Space group I4/mcm (No. 140)
Unique sites:
Zn1 0.1791 0.3209 0.0000 x8  5 Zn 2.50-2.56
Hg1 0.0000 0.0000 0.2500 x4  8 Zn 2.86



The following is a DFT calculation (PBEsol) of crystalline Co3RhS at its relaxed geometry.

## Properties
The formation energy (no corrections) is 7.9 eV/f.u.

Cell lengths 4.4635, 4.4635, 4.4635 Å; angles 90.00, 90.00, 90.00 degrees
With the nearest neighbours (Å) after each atom.
Space group Pm-3m (No. 221)
Unique sites:
Co1 0.0000 0.0000 0.5000 x3  2 Rh 2.23
Rh1 0.0000 0.0000 0.0000 x1  6 Co 2.23
S1 0.5000 0.5000 0.5000 x1  12 Co 3.16



no.,mass density (Mg/m³),DFT total energy (eV per atom)
1,4.6,-4.461
2,8.2,-5.671
3,16.3,-8.473
4,10.0,-6.325
5,10.2,-1.189
6,5.8,-5.569